# 1
VASP calculation (GGA-PBE) on a geometry-optimized Mg2ScBe2Pt5 structure.

Properties
* ρ: 11.94 Mg/m³
* Fermi-level density of states: 0.133 states/eV per atom
* E_form: -85.0 kJ per mole of atoms
* SG: P4/mbm

Lattice parameters (Å, degrees): 9.4269 9.4269 3.4020 90.00 90.00 90.00
Sites, in units of the cell vectors:
Mg: 0.1750 0.3250 0.0000
Mg: 0.3250 0.8250 0.0000
Mg: 0.6750 0.1750 0.0000
Mg: 0.8250 0.6750 0.0000
Sc: 0.0000 0.0000 0.0000
Sc: 0.5000 0.5000 0.0000
Be: 0.1217 0.6217 0.0000
Be: 0.3783 0.1217 0.0000
Be: 0.6217 0.8783 0.0000
Be: 0.8783 0.3783 0.0000
Pt: 0.0000 0.5000 0.5000
Pt: 0.0736 0.7860 0.5000
Pt: 0.2140 0.0736 0.5000
Pt: 0.2860 0.5736 0.5000
Pt: 0.4264 0.2860 0.5000
Pt: 0.5000 0.0000 0.5000
Pt: 0.5736 0.7140 0.5000
Pt: 0.7140 0.4264 0.5000
Pt: 0.7860 0.9264 0.5000
Pt: 0.9264 0.2140 0.5000

=====

# 2
VASP calculation (GGA-PBE) on a geometry-optimized AlCd2Pb structure.

Properties
* energy relative to the lowest polymorph listed for this composition: 39.7 meV/atom
* ρ: 7.87 Mg/m³
* Fermi-level density of states: 0.396 states/eV per atom
* E_form: 14.6 kJ per mole of atoms
* SG: C2/m

Lattice parameters (Å, degrees): 5.6516 5.6516 5.5732 103.78 103.78 34.17
Sites, in units of the cell vectors:
Al: 0.0000 0.0000 0.0000
Cd: 0.2654 0.2654 0.7724
Cd: 0.7346 0.7346 0.2276
Pb: 0.5000 0.5000 0.5000

=====

# 3
VASP calculation (GGA-PBE) on a geometry-optimized CuPIr structure.

Properties
* energy relative to the lowest polymorph listed for this composition: 184.2 meV/atom
* ρ: 11.70 Mg/m³
* Fermi-level density of states: 0.545 states/eV per atom
* E_form: 1.5 kJ per mole of atoms
* SG: P3m1

Lattice parameters (Å, degrees): 2.8455 2.8455 5.8050 90.00 90.00 120.00
Sites, in units of the cell vectors:
Cu: 0.0000 0.0000 0.0000
P: 0.6667 0.3333 0.6805
Ir: 0.3333 0.6667 0.3780

=====

# 4
VASP calculation (GGA-PBE) on a geometry-optimized YHfP2 structure.

Properties
* energy relative to the lowest polymorph listed for this composition: 617.3 meV/atom
* ρ: 4.97 Mg/m³
* Fermi-level density of states: 0.609 states/eV per atom
* E_form: -80.6 kJ per mole of atoms
* SG: I-42d

Lattice parameters (Å, degrees): 7.3382 7.3382 7.3382 131.03 131.03 71.76
Sites, in units of the cell vectors:
Y: 0.0000 0.0000 0.0000
Y: 0.7500 0.2500 0.5000
Hf: 0.2500 0.7500 0.5000
Hf: 0.5000 0.5000 0.0000
P: 0.1540 0.6250 0.0290
P: 0.3750 0.4040 0.5290
P: 0.5960 0.1250 0.9710
P: 0.8750 0.8460 0.4710

=====

# 5
VASP calculation (GGA-PBE) on a geometry-optimized Cs3BeI6 structure.

Properties
* raw formation energy: -1.10 eV per atom
* energy relative to the lowest polymorph listed for this composition: 0.0 meV/atom
* ρ: 3.47 Mg/m³
* Fermi-level density of states: 0.542 states/eV per atom
* SG: Cmc2_1

Lattice parameters (Å, degrees): 13.0381 13.0381 6.7141 90.00 90.00 101.30
Sites, in units of the cell vectors:
Cs: 0.1115 0.8885 0.5000
Cs: 0.1780 0.4565 0.9770
Cs: 0.4565 0.1780 0.4770
Cs: 0.5435 0.8220 0.9770
Cs: 0.8220 0.5435 0.4770
Cs: 0.8885 0.1115 0.0000
Be: 0.2994 0.7006 0.3239
Be: 0.7006 0.2994 0.8239
I: 0.1418 0.6016 0.4935
I: 0.1718 0.1719 0.2395
I: 0.1719 0.1718 0.7395
I: 0.2310 0.7690 0.0262
I: 0.3984 0.8582 0.4935
I: 0.4172 0.5828 0.2696
I: 0.5828 0.4172 0.7696
I: 0.6016 0.1418 0.9935
I: 0.7690 0.2310 0.5262
I: 0.8281 0.8282 0.2395
I: 0.8282 0.8281 0.7395
I: 0.8582 0.3984 0.9935

=====

# 6
VASP calculation (GGA-PBE) on a geometry-optimized NaGa2Ag9 structure.

Properties
* ρ: 8.03 Mg/m³
* Fermi-level density of states: 0.281 states/eV per atom
* E_form: 0.5 kJ per mole of atoms
* SG: I4_1/amd

Lattice parameters (Å, degrees): 8.8162 8.8162 8.8162 99.77 99.77 131.34
Sites, in units of the cell vectors:
Na: 0.3750 0.6250 0.7500
Na: 0.6250 0.3750 0.2500
Ga: 0.0000 0.0000 0.0000
Ga: 0.0000 0.0000 0.5000
Ga: 0.0000 0.5000 0.0000
Ga: 0.5000 0.0000 0.5000
Ag: 0.1250 0.8750 0.2500
Ag: 0.1331 0.5596 0.3300
Ag: 0.1331 0.8032 0.5735
Ag: 0.1968 0.2704 0.3300
Ag: 0.1968 0.8669 0.9265
Ag: 0.2704 0.1968 0.8300
Ag: 0.2704 0.4404 0.0735
Ag: 0.4404 0.2704 0.5735
Ag: 0.4404 0.8669 0.1700
Ag: 0.5596 0.1331 0.8300
Ag: 0.5596 0.7296 0.4265
Ag: 0.7296 0.5596 0.9265
Ag: 0.7296 0.8032 0.1700
Ag: 0.8032 0.1331 0.0735
Ag: 0.8032 0.7296 0.6700
Ag: 0.8669 0.1968 0.4265
Ag: 0.8669 0.4404 0.6700
Ag: 0.8750 0.1250 0.7500

=====

# 7
VASP calculation (GGA-PBE) on a geometry-optimized CaEr5Tl6 structure.

Properties
* ρ: 10.72 Mg/m³
* Fermi-level density of states: 0.724 states/eV per atom
* E_form: -31.6 kJ per mole of atoms
* SG: C2/m

Lattice parameters (Å, degrees): 9.2770 9.2770 5.3529 106.70 106.70 120.15
Sites, in units of the cell vectors:
Ca: 0.0000 0.0000 0.0000
Er: 0.1632 0.8368 0.5000
Er: 0.3323 0.6677 0.0000
Er: 0.5000 0.5000 0.5000
Er: 0.6677 0.3323 0.0000
Er: 0.8368 0.1632 0.5000
Tl: 0.0847 0.4204 0.2523
Tl: 0.2551 0.2551 0.7550
Tl: 0.4204 0.0847 0.2523
Tl: 0.5796 0.9153 0.7477
Tl: 0.7449 0.7449 0.2450
Tl: 0.9153 0.5796 0.7477

=====

# 8
VASP calculation (GGA-PBE) on a geometry-optimized Tb3Sm5Tl structure.

Properties
* ρ: 7.62 Mg/m³
* Fermi-level density of states: 1.421 states/eV per atom
* E_form: 38.0 kJ per mole of atoms
* SG: C2/m

Lattice parameters (Å, degrees): 7.9380 7.9380 11.4402 95.17 95.17 60.57
Sites, in units of the cell vectors:
Tb: 0.0000 0.0000 0.0000
Tb: 0.0000 0.0000 0.5000
Tb: 0.2597 0.2597 0.4740
Tb: 0.3330 0.3330 0.7834
Tb: 0.6670 0.6670 0.2166
Tb: 0.7403 0.7403 0.5260
Sm: 0.0865 0.6606 0.2443
Sm: 0.2382 0.2382 0.0360
Sm: 0.3315 0.6685 0.0000
Sm: 0.3394 0.9135 0.7557
Sm: 0.4935 0.4935 0.6299
Sm: 0.5065 0.5065 0.3701
Sm: 0.6606 0.0865 0.2443
Sm: 0.6685 0.3315 0.0000
Sm: 0.7618 0.7618 0.9640
Sm: 0.9135 0.3394 0.7557
Tl: 0.0971 0.0971 0.2588
Tl: 0.9029 0.9029 0.7412

=====

Q: Number 3 is which compound?
A: CuPIr

=====

Q: The highest Fermi-level density of states belongs to which entry?
A: Tb3Sm5Tl

=====

Q: Which of these has the highest ρ?
A: Mg2ScBe2Pt5

=====

Q: The lowest Fermi-level density of states belongs to which entry?
A: Mg2ScBe2Pt5